No. 1
Density functional theory data (GGA-PBE) for a relaxed structure of Pm3TmF.

Cell: 5.1252 5.1252 5.1252 Å, 90.00 90.00 90.00°
Fractional positions:
F  0.0000  0.0000  0.0000
Tm  0.5000  0.5000  0.5000
Pm  0.0000  0.5000  0.0000
Pm  0.0000  0.0000  0.5000
Pm  0.5000  0.0000  0.0000

Summary:
The space group is No. 221. The calculation puts the raw formation energy at -0.9717 eV/atom.

***

No. 2
Density functional theory data (GGA-PBE) for a relaxed structure of Pm2TmF8.

Cell: 3.7948 5.3250 8.2106 Å, 103.80 103.36 90.00°
Fractional positions:
Pm  0.8358  0.3376  0.6716
Pm  0.1642  0.6624  0.3284
Tm  0.5000  0.0000  0.0000
F  0.4048  0.6135  0.8096
F  0.6296  0.9026  0.2592
F  0.7619  0.6710  0.5239
F  0.9754  0.2062  0.9508
F  0.2381  0.3290  0.4761
F  0.3704  0.0974  0.7408
F  0.5952  0.3865  0.1904
F  0.0246  0.7938  0.0492

Summary:
The space group is No. 12. The calculation puts the raw formation energy at -3.8632 eV/atom.